No. 1
DFT (PBE-GGA) results for Nd2BiS after structural relaxation.

Cell: 4.3360 4.3360 21.2786 Å, 90.00 90.00 120.00°
With the nearest neighbours (Å) after each atom.
Sites, in units of the cell vectors:
Nd1 0.0000 0.0000 0.2172  3 S 2.93, 3 Bi 3.21
Nd2 0.0000 0.0000 0.7828  3 S 2.93, 3 Bi 3.21
Nd3 0.3333 0.6667 0.4058  6 Bi 3.20-3.21
Nd4 0.3333 0.6667 0.9292  6 S 2.92-2.96
Nd5 0.6667 0.3333 0.0708  6 S 2.92-2.96
Nd6 0.6667 0.3333 0.5942  6 Bi 3.20-3.21
Bi1 0.0000 0.0000 0.5000  6 Nd 3.21
Bi2 0.3333 0.6667 0.6881  6 Nd 3.20-3.21
Bi3 0.6667 0.3333 0.3119  6 Nd 3.20-3.21
S1 0.0000 0.0000 0.0000  6 Nd 2.92
S2 0.3333 0.6667 0.1455  6 Nd 2.93-2.96
S3 0.6667 0.3333 0.8545  6 Nd 2.93-2.96

Computed properties:
Calculated total energy in eV per atom: -5.81
DOS(E_F) in states/eV/atom: 0.3232
SG: P-3m1
Raw formation energy in eV per formula unit: -5.714
Theoretical density in Mg/m³: 7.6


No. 2
DFT (PBE-GGA) results for CoPRu after structural relaxation.

Cell: 2.7956 4.3269 4.3269 Å, 45.69 90.00 90.00°
With the nearest neighbours (Å) after each atom.
Sites, in units of the cell vectors:
Co1 0.0000 0.0000 0.0000  4 P 2.29
P1 0.5000 0.5843 0.5843  4 Co 2.29, 3 Ru 2.33-2.37
Ru1 0.5000 0.2868 0.2868  3 P 2.33-2.37

Computed properties:
Calculated total energy in eV per atom: -7.48
DOS(E_F) in states/eV/atom: 1.2275
SG: Amm2
DFT formation energy in eV/atom: -0.21
Theoretical density in Mg/m³: 8.5


No. 3
DFT (PBE-GGA) results for Pm12Hg5N2 after structural relaxation.

Cell: 9.1291 9.1291 8.7546 Å, 92.08 92.08 47.15°
With the nearest neighbours (Å) after each atom.
Sites, in units of the cell vectors:
Pm1 0.0147 0.0147 0.2001  2 N 2.48
Pm2 0.0982 0.6045 0.4716  5 Hg 3.10-3.46, 1 Pm 3.45
Pm3 0.1038 0.6066 0.0456  1 N 2.47
Pm4 0.3934 0.8962 0.9544  1 N 2.47
Pm5 0.3955 0.9018 0.5284  5 Hg 3.10-3.46, 1 Pm 3.45
Pm6 0.4759 0.4759 0.8239  2 N 2.48
Pm7 0.5241 0.5241 0.1761  2 N 2.48
Pm8 0.6045 0.0982 0.4716  5 Hg 3.10-3.46, 1 Pm 3.45
Pm9 0.6066 0.1038 0.0456  1 N 2.47
Pm10 0.8962 0.3934 0.9544  1 N 2.47
Pm11 0.9018 0.3955 0.5284  5 Hg 3.10-3.46, 1 Pm 3.45
Pm12 0.9853 0.9853 0.7999  2 N 2.48
Hg1 0.2169 0.2169 0.2481  9 Pm 3.29-3.49, 2 Hg 3.65
Hg2 0.2753 0.2753 0.7522  9 Pm 3.35-3.39, 2 Hg 3.65
Hg3 0.5000 0.5000 0.5000  6 Pm 2.88-3.10
Hg4 0.7247 0.7247 0.2478  9 Pm 3.35-3.39, 2 Hg 3.65
Hg5 0.7831 0.7831 0.7519  9 Pm 3.29-3.49, 2 Hg 3.65
N1 0.2386 0.7614 0.0000  6 Pm 2.47-2.48
N2 0.7614 0.2386 0.0000  6 Pm 2.47-2.48

Computed properties:
Calculated total energy in eV per atom: -4.42
DOS(E_F) in states/eV/atom: 1.0577
SG: C2/m
Raw formation energy in eV per formula unit: -8.775
Theoretical density in Mg/m³: 8.6